# CsNiGe | OQMD via LeMat-Bulk | PBE | optimized geometry
# Space group   F-43m
# Total magnetic moment   0.03 μB per formula unit
data_CsNiGe
_space_group_name_H-M_alt 'P 1'
_space_group_IT_number 1
_space_group_name_Hall 'P 1'
_cell_length_a 5.023
_cell_length_b 5.023
_cell_length_c 5.023
_cell_angle_alpha 60.00
_cell_angle_beta 60.00
_cell_angle_gamma 60.00
loop_
_atom_site_label
_atom_site_type_symbol
_atom_site_fract_x
_atom_site_fract_y
_atom_site_fract_z
Cs1 Cs 0.250 0.250 0.250
Ge1 Ge 0.000 0.000 0.000
Ni1 Ni 0.750 0.750 0.750



# TbSm2Bi3 | OQMD via LeMat-Bulk | PBE | optimized geometry
# Space group   P-3m1
# Total magnetic moment   0.00 μB per formula unit
data_TbSm2Bi3
_space_group_name_H-M_alt 'P 1'
_space_group_IT_number 1
_space_group_name_Hall 'P 1'
_cell_length_a 4.507
_cell_length_b 4.507
_cell_length_c 11.066
_cell_angle_alpha 90.00
_cell_angle_beta 90.00
_cell_angle_gamma 120.00
loop_
_atom_site_label
_atom_site_type_symbol
_atom_site_fract_x
_atom_site_fract_y
_atom_site_fract_z
Bi1 Bi 0.000 0.000 0.000
Bi2 Bi 0.333 0.667 0.337
Bi3 Bi 0.667 0.333 0.663
Sm1 Sm 0.667 0.333 0.168
Sm2 Sm 0.333 0.667 0.832
Tb1 Tb 0.000 0.000 0.500



# SrTmAsO | OQMD via LeMat-Bulk | PBE | optimized geometry
# Space group   Pmc2_1
# Total magnetic moment   0.00 μB per formula unit
data_SrTmAsO
_space_group_name_H-M_alt 'P 1'
_space_group_IT_number 1
_space_group_name_Hall 'P 1'
_cell_length_a 4.038
_cell_length_b 6.586
_cell_length_c 7.229
_cell_angle_alpha 90.00
_cell_angle_beta 90.00
_cell_angle_gamma 90.00
loop_
_atom_site_label
_atom_site_type_symbol
_atom_site_fract_x
_atom_site_fract_y
_atom_site_fract_z
As1 As 0.000 0.735 0.319
As2 As 0.000 0.265 0.819
O1 O 0.500 0.238 0.385
O2 O 0.500 0.762 0.885
Sr1 Sr 0.500 0.445 0.102
Sr2 Sr 0.500 0.555 0.602
Tm1 Tm 0.000 0.130 0.448
Tm2 Tm 0.000 0.870 0.948



Which total DFT energy (no corrections) belongs to each record? In order, -2.588 -5.293 -5.923 eV per atom.